Run 1
KYSe3 after structural relaxation. Source: Alexandria via LeMat-Bulk, functional PBE. Values from VASP.

Cell and atoms, written as Quantum ESPRESSO input:
```
&SYSTEM
  ibrav = 0, nat = 5, ntyp = 3
/
ATOMIC_SPECIES
Y 88.91 Y.upf
Se 78.96 Se.upf
K 39.10 K.upf
CELL_PARAMETERS angstrom
5.360 0.000 0.000
0.000 5.360 0.000
0.000 0.000 5.360
ATOMIC_POSITIONS crystal
Y 0.500 0.500 0.500
Se 0.500 0.000 0.000
Se 0.000 0.500 0.000
Se 0.000 0.000 0.500
K 0.000 0.000 0.000
```



Run 2
KYSe3 after structural relaxation. Source: Alexandria via LeMat-Bulk, functional PBE. Values from VASP.

Cell and atoms, written as Quantum ESPRESSO input:
```
&SYSTEM
  ibrav = 0, nat = 5, ntyp = 3
/
ATOMIC_SPECIES
K 39.10 K.upf
Y 88.91 Y.upf
Se 78.96 Se.upf
CELL_PARAMETERS angstrom
-1.080 -4.262 3.394
2.744 -3.415 -3.415
4.707 1.012 2.769
ATOMIC_POSITIONS crystal
K 0.500 0.500 0.500
Y 0.000 0.000 0.000
Se 0.000 0.000 0.500
Se 0.000 0.500 0.000
Se 0.500 0.000 0.000
```



Energies, relative to the best one, in meV/atom: run 1 1245; run 2 0.



Run 1
KY2Se2 after structural relaxation. Source: Alexandria via LeMat-Bulk, functional PBE. Values from VASP.

Cell and atoms, written as Quantum ESPRESSO input:
```
&SYSTEM
  ibrav = 0, nat = 10, ntyp = 3
/
ATOMIC_SPECIES
Y 88.91 Y.upf
Se 78.96 Se.upf
K 39.10 K.upf
CELL_PARAMETERS angstrom
8.200 0.000 0.000
0.000 8.200 0.000
0.000 0.000 3.826
ATOMIC_POSITIONS crystal
Y 0.150 0.650 0.500
Y 0.350 0.150 0.500
Y 0.650 0.850 0.500
Y 0.850 0.350 0.500
Se 0.858 0.642 0.000
Se 0.358 0.858 0.000
Se 0.142 0.358 0.000
Se 0.642 0.142 0.000
K 0.500 0.500 0.000
K 0.000 0.000 0.000
```



Run 2
KY2Se2 after structural relaxation. Source: Alexandria via LeMat-Bulk, functional PBE. Values from VASP.

Cell and atoms, written as Quantum ESPRESSO input:
```
&SYSTEM
  ibrav = 0, nat = 5, ntyp = 3
/
ATOMIC_SPECIES
Se 78.96 Se.upf
Y 88.91 Y.upf
K 39.10 K.upf
CELL_PARAMETERS angstrom
-3.001 -0.166 -3.914
-2.848 -3.294 2.323
-6.865 3.647 1.997
ATOMIC_POSITIONS crystal
Se 0.652 0.652 0.696
Se 0.348 0.348 0.304
Y 0.750 0.250 0.500
Y 0.250 0.750 0.500
K 0.000 0.000 0.000
```



Energies, relative to the best one, in meV/atom: run 1 76; run 2 0.



Run 1
KY3Se after structural relaxation. Source: Alexandria via LeMat-Bulk, functional PBE. Values from VASP.

Cell and atoms, written as Quantum ESPRESSO input:
```
&SYSTEM
  ibrav = 0, nat = 5, ntyp = 3
/
ATOMIC_SPECIES
K 39.10 K.upf
Y 88.91 Y.upf
Se 78.96 Se.upf
CELL_PARAMETERS angstrom
5.609 0.000 0.000
0.000 5.609 0.000
0.000 0.000 5.609
ATOMIC_POSITIONS crystal
K 0.500 0.500 0.500
Y 0.500 0.000 0.000
Y 0.000 0.500 0.000
Y 0.000 0.000 0.500
Se 0.000 0.000 0.000
```



Run 2
KY3Se after structural relaxation. Source: Alexandria via LeMat-Bulk, functional PBE. Values from VASP.

Cell and atoms, written as Quantum ESPRESSO input:
```
&SYSTEM
  ibrav = 0, nat = 5, ntyp = 3
/
ATOMIC_SPECIES
Y 88.91 Y.upf
Se 78.96 Se.upf
K 39.10 K.upf
CELL_PARAMETERS angstrom
5.450 0.000 0.000
0.000 5.450 0.000
0.000 0.000 5.450
ATOMIC_POSITIONS crystal
Y 0.000 0.000 0.500
Y 0.500 0.000 0.000
Y 0.000 0.500 0.000
Se 0.500 0.500 0.500
K 0.000 0.000 0.000
```



Energies, relative to the best one, in meV/atom: run 1 0; run 2 1388.



Run 1
KZnSe after structural relaxation. Source: Alexandria via LeMat-Bulk, functional PBE. Values from VASP.

Cell and atoms, written as Quantum ESPRESSO input:
```
&SYSTEM
  ibrav = 0, nat = 3, ntyp = 3
/
ATOMIC_SPECIES
Zn 65.41 Zn.upf
K 39.10 K.upf
Se 78.96 Se.upf
CELL_PARAMETERS angstrom
-0.330 4.966 -1.409
-4.634 2.230 -0.547
-1.577 3.556 3.409
ATOMIC_POSITIONS crystal
Zn 0.500 0.500 0.500
K 0.750 0.750 0.750
Se 0.000 0.000 0.000
```



Run 2
KZnSe after structural relaxation. Source: Alexandria via LeMat-Bulk, functional PBE. Values from VASP.

Cell and atoms, written as Quantum ESPRESSO input:
```
&SYSTEM
  ibrav = 0, nat = 12, ntyp = 3
/
ATOMIC_SPECIES
Se 78.96 Se.upf
Zn 65.41 Zn.upf
K 39.10 K.upf
CELL_PARAMETERS angstrom
-3.551 1.740 6.434
-0.878 -7.500 -0.093
8.586 2.088 0.560
ATOMIC_POSITIONS crystal
Se 0.028 0.528 0.500
Se 0.778 0.778 0.000
Se 0.472 0.972 0.500
Se 0.222 0.222 0.000
Zn 0.125 0.875 0.750
Zn 0.625 0.875 0.750
Zn 0.125 0.375 0.250
Zn 0.125 0.875 0.250
K 0.604 0.104 0.209
K 0.896 0.396 0.791
K 0.354 0.354 0.709
K 0.646 0.646 0.291
```



Run 3
KZnSe after structural relaxation. Source: Alexandria via LeMat-Bulk, functional PBE. Values from VASP.

Cell and atoms, written as Quantum ESPRESSO input:
```
&SYSTEM
  ibrav = 0, nat = 3, ntyp = 3
/
ATOMIC_SPECIES
Se 78.96 Se.upf
K 39.10 K.upf
Zn 65.41 Zn.upf
CELL_PARAMETERS angstrom
-0.146 -4.287 -0.262
0.551 1.902 3.814
-5.506 0.143 0.724
ATOMIC_POSITIONS crystal
Se 0.333 0.667 0.427
K 0.000 0.000 0.007
Zn 0.667 0.333 0.565
```



Run 4
KZnSe after structural relaxation. Source: Alexandria via LeMat-Bulk, functional PBE. Values from VASP.

Cell and atoms, written as Quantum ESPRESSO input:
```
&SYSTEM
  ibrav = 0, nat = 3, ntyp = 3
/
ATOMIC_SPECIES
Zn 65.41 Zn.upf
Se 78.96 Se.upf
K 39.10 K.upf
CELL_PARAMETERS angstrom
6.314 0.004 -0.004
5.170 3.625 0.005
1.144 0.354 3.604
ATOMIC_POSITIONS crystal
Zn 0.721 0.721 0.279
Se 0.282 0.282 0.718
K 0.997 0.997 0.003
```



Energies, relative to the best one, in meV/atom: run 1 479; run 2 20; run 3 0; run 4 114.



Run 1
KZnSe after structural relaxation. Source: Alexandria via LeMat-Bulk, functional PBE. Values from VASP.

Cell and atoms, written as Quantum ESPRESSO input:
```
&SYSTEM
  ibrav = 0, nat = 3, ntyp = 3
/
ATOMIC_SPECIES
K 39.10 K.upf
Zn 65.41 Zn.upf
Se 78.96 Se.upf
CELL_PARAMETERS angstrom
5.388 0.000 0.000
-2.694 4.666 0.000
0.000 0.000 3.025
ATOMIC_POSITIONS crystal
K 0.000 0.000 0.000
Zn 0.333 0.667 0.500
Se 0.667 0.333 0.500
```



Run 2
KZnSe after structural relaxation. Source: Alexandria via LeMat-Bulk, functional PBE. Values from VASP.

Cell and atoms, written as Quantum ESPRESSO input:
```
&SYSTEM
  ibrav = 0, nat = 3, ntyp = 3
/
ATOMIC_SPECIES
Se 78.96 Se.upf
K 39.10 K.upf
Zn 65.41 Zn.upf
CELL_PARAMETERS angstrom
5.111 0.000 0.000
2.555 4.426 0.000
2.555 1.475 4.173
ATOMIC_POSITIONS crystal
Se 0.750 0.750 0.750
K 0.500 0.500 0.500
Zn 0.000 0.000 0.000
```



Energies, relative to the best one, in meV/atom: run 1 86; run 2 0.



Run 1
KZn3Se after structural relaxation. Source: Alexandria via LeMat-Bulk, functional PBE. Values from VASP.

Cell and atoms, written as Quantum ESPRESSO input:
```
&SYSTEM
  ibrav = 0, nat = 5, ntyp = 3
/
ATOMIC_SPECIES
Zn 65.41 Zn.upf
Se 78.96 Se.upf
K 39.10 K.upf
CELL_PARAMETERS angstrom
5.330 0.000 0.000
0.000 5.330 0.000
0.000 0.000 5.330
ATOMIC_POSITIONS crystal
Zn 0.000 0.500 0.000
Zn 0.500 0.000 0.000
Zn 0.000 0.000 0.500
Se 0.000 0.000 0.000
K 0.500 0.500 0.500
```



Run 2
KZn3Se after structural relaxation. Source: Alexandria via LeMat-Bulk, functional PBE. Values from VASP.

Cell and atoms, written as Quantum ESPRESSO input:
```
&SYSTEM
  ibrav = 0, nat = 5, ntyp = 3
/
ATOMIC_SPECIES
Se 78.96 Se.upf
Zn 65.41 Zn.upf
K 39.10 K.upf
CELL_PARAMETERS angstrom
-5.658 -2.228 1.227
-0.388 -2.201 -5.787
2.514 -5.355 1.868
ATOMIC_POSITIONS crystal
Se 0.500 0.500 0.500
Zn 0.000 0.000 0.500
Zn 0.000 0.500 0.000
Zn 0.500 0.000 0.000
K 0.000 0.000 0.000
```



Energies, relative to the best one, in meV/atom: run 1 0; run 2 567.



Run 1
KZnSe3 after structural relaxation. Source: Alexandria via LeMat-Bulk, functional PBE. Values from VASP.

Cell and atoms, written as Quantum ESPRESSO input:
```
&SYSTEM
  ibrav = 0, nat = 5, ntyp = 3
/
ATOMIC_SPECIES
Se 78.96 Se.upf
Zn 65.41 Zn.upf
K 39.10 K.upf
CELL_PARAMETERS angstrom
-0.374 4.384 2.560
-0.611 -2.587 4.342
5.040 0.012 0.716
ATOMIC_POSITIONS crystal
Se 0.000 0.000 0.500
Se 0.000 0.500 0.000
Se 0.500 0.000 0.000
Zn 0.000 0.000 0.000
K 0.500 0.500 0.500
```



Run 2
KZnSe3 after structural relaxation. Source: Alexandria via LeMat-Bulk, functional PBE. Values from VASP.

Cell and atoms, written as Quantum ESPRESSO input:
```
&SYSTEM
  ibrav = 0, nat = 5, ntyp = 3
/
ATOMIC_SPECIES
Se 78.96 Se.upf
Zn 65.41 Zn.upf
K 39.10 K.upf
CELL_PARAMETERS angstrom
-4.993 -3.500 1.100
2.238 -4.377 -3.770
2.907 -2.641 4.792
ATOMIC_POSITIONS crystal
Se 0.000 0.500 0.000
Se 0.000 0.000 0.500
Se 0.500 0.000 0.000
Zn 0.500 0.500 0.500
K 0.000 0.000 0.000
```



Energies, relative to the best one, in meV/atom: run 1 0; run 2 1122.



Run 1
KZr4Se8 after structural relaxation. Source: Alexandria via LeMat-Bulk, functional PBE. Values from VASP.

Cell and atoms, written as Quantum ESPRESSO input:
```
&SYSTEM
  ibrav = 0, nat = 13, ntyp = 3
/
ATOMIC_SPECIES
Se 78.96 Se.upf
Zr 91.22 Zr.upf
K 39.10 K.upf
CELL_PARAMETERS angstrom
8.135 0.000 0.000
4.067 7.045 0.000
4.067 2.348 6.642
ATOMIC_POSITIONS crystal
Se 0.133 0.133 0.602
Se 0.133 0.602 0.133
Se 0.602 0.133 0.133
Se 0.607 0.607 0.607
Se 0.133 0.133 0.133
Se 0.607 0.607 0.179
Se 0.179 0.607 0.607
Se 0.607 0.179 0.607
Zr 0.371 0.888 0.371
Zr 0.371 0.371 0.888
Zr 0.888 0.371 0.371
Zr 0.371 0.371 0.371
K 0.750 0.750 0.750
```



Run 2
KZr4Se8 after structural relaxation. Source: Alexandria via LeMat-Bulk, functional PBE. Values from VASP.

Cell and atoms, written as Quantum ESPRESSO input:
```
&SYSTEM
  ibrav = 0, nat = 13, ntyp = 3
/
ATOMIC_SPECIES
K 39.10 K.upf
Se 78.96 Se.upf
Zr 91.22 Zr.upf
CELL_PARAMETERS angstrom
6.898 0.000 3.146
2.732 6.334 3.146
-0.124 -0.082 9.407
ATOMIC_POSITIONS crystal
K 0.500 0.500 0.500
Se 0.770 0.267 0.194
Se 0.230 0.733 0.806
Se 0.267 0.770 0.194
Se 0.269 0.269 0.193
Se 0.230 0.230 0.806
Se 0.731 0.731 0.807
Se 0.770 0.770 0.194
Se 0.733 0.230 0.806
Zr 0.500 0.000 0.000
Zr 0.000 0.500 0.000
Zr 0.000 0.000 0.000
Zr 0.500 0.500 0.000
```



Energies, relative to the best one, in meV/atom: run 1 162; run 2 0.



Run 1
K3ZrSe after structural relaxation. Source: Alexandria via LeMat-Bulk, functional PBE. Values from VASP.

Cell and atoms, written as Quantum ESPRESSO input:
```
&SYSTEM
  ibrav = 0, nat = 5, ntyp = 3
/
ATOMIC_SPECIES
K 39.10 K.upf
Se 78.96 Se.upf
Zr 91.22 Zr.upf
CELL_PARAMETERS angstrom
-0.503 -2.424 5.797
-3.120 -4.952 -2.341
5.455 -3.056 -0.804
ATOMIC_POSITIONS crystal
K 0.500 0.000 0.000
K 0.000 0.500 0.000
K 0.000 0.000 0.500
Se 0.000 0.000 0.000
Zr 0.500 0.500 0.500
```



Run 2
K3ZrSe after structural relaxation. Source: Alexandria via LeMat-Bulk, functional PBE. Values from VASP.

Cell and atoms, written as Quantum ESPRESSO input:
```
&SYSTEM
  ibrav = 0, nat = 5, ntyp = 3
/
ATOMIC_SPECIES
K 39.10 K.upf
Zr 91.22 Zr.upf
Se 78.96 Se.upf
CELL_PARAMETERS angstrom
6.270 0.000 0.000
0.000 6.270 0.000
0.000 0.000 6.270
ATOMIC_POSITIONS crystal
K 0.000 0.500 0.000
K 0.000 0.000 0.500
K 0.500 0.000 0.000
Zr 0.000 0.000 0.000
Se 0.500 0.500 0.500
```



Energies, relative to the best one, in meV/atom: run 1 0; run 2 614.



Run 1
KZrSe3 after structural relaxation. Source: Alexandria via LeMat-Bulk, functional PBE. Values from VASP.

Cell and atoms, written as Quantum ESPRESSO input:
```
&SYSTEM
  ibrav = 0, nat = 5, ntyp = 3
/
ATOMIC_SPECIES
K 39.10 K.upf
Se 78.96 Se.upf
Zr 91.22 Zr.upf
CELL_PARAMETERS angstrom
-5.259 -0.029 -0.638
-0.325 -4.435 2.879
-0.550 2.897 4.401
ATOMIC_POSITIONS crystal
K 0.500 0.500 0.500
Se 0.500 0.000 0.000
Se 0.000 0.500 0.000
Se 0.000 0.000 0.500
Zr 0.000 0.000 0.000
```



Run 2
KZrSe3 after structural relaxation. Source: Alexandria via LeMat-Bulk, functional PBE. Values from VASP.

Cell and atoms, written as Quantum ESPRESSO input:
```
&SYSTEM
  ibrav = 0, nat = 10, ntyp = 3
/
ATOMIC_SPECIES
K 39.10 K.upf
Zr 91.22 Zr.upf
Se 78.96 Se.upf
CELL_PARAMETERS angstrom
-3.309 0.277 -2.115
3.257 -7.847 -2.461
-5.372 0.097 8.419
ATOMIC_POSITIONS crystal
K 0.392 0.785 0.712
K 0.608 0.215 0.288
Zr 0.190 0.379 0.810
Zr 0.810 0.621 0.190
Se 0.645 0.290 0.961
Se 0.016 0.032 0.629
Se 0.355 0.710 0.039
Se 0.723 0.446 0.664
Se 0.984 0.968 0.371
Se 0.277 0.554 0.336
```



Energies, relative to the best one, in meV/atom: run 1 97; run 2 0.



Run 1
KZrSe3 after structural relaxation. Source: Alexandria via LeMat-Bulk, functional PBE. Values from VASP.

Cell and atoms, written as Quantum ESPRESSO input:
```
&SYSTEM
  ibrav = 0, nat = 5, ntyp = 3
/
ATOMIC_SPECIES
Zr 91.22 Zr.upf
Se 78.96 Se.upf
K 39.10 K.upf
CELL_PARAMETERS angstrom
5.303 0.000 0.000
0.000 5.303 0.000
0.000 0.000 5.303
ATOMIC_POSITIONS crystal
Zr 0.500 0.500 0.500
Se 0.000 0.000 0.500
Se 0.500 0.000 0.000
Se 0.000 0.500 0.000
K 0.000 0.000 0.000
```



Run 2
KZrSe3 after structural relaxation. Source: Alexandria via LeMat-Bulk, functional PBE. Values from VASP.

Cell and atoms, written as Quantum ESPRESSO input:
```
&SYSTEM
  ibrav = 0, nat = 10, ntyp = 3
/
ATOMIC_SPECIES
Se 78.96 Se.upf
Zr 91.22 Zr.upf
K 39.10 K.upf
CELL_PARAMETERS angstrom
5.191 0.001 0.001
-2.594 7.793 0.477
0.000 -2.612 8.303
ATOMIC_POSITIONS crystal
Se 0.668 0.337 0.973
Se 0.015 0.031 0.142
Se 0.985 0.969 0.858
Se 0.852 0.703 0.407
Se 0.332 0.663 0.027
Se 0.148 0.297 0.593
Zr 0.843 0.685 0.125
Zr 0.157 0.315 0.875
K 0.626 0.253 0.348
K 0.374 0.747 0.652
```



Energies, relative to the best one, in meV/atom: run 1 2052; run 2 0.



Run 1
K2Si after structural relaxation. Source: Alexandria via LeMat-Bulk, functional PBE. Values from VASP.

Cell and atoms, written as Quantum ESPRESSO input:
```
&SYSTEM
  ibrav = 0, nat = 12, ntyp = 2
/
ATOMIC_SPECIES
K 39.10 K.upf
Si 28.09 Si.upf
CELL_PARAMETERS angstrom
-3.918 0.717 -0.255
-2.643 -16.966 -7.108
-0.874 -2.522 6.344
ATOMIC_POSITIONS crystal
K 0.000 0.094 0.440
K 0.000 0.594 0.940
K 0.500 0.834 0.947
K 0.500 0.166 0.947
K 0.000 0.406 0.940
K 0.000 0.906 0.440
K 0.500 0.666 0.447
K 0.500 0.334 0.447
Si 0.000 0.000 0.945
Si 0.500 0.500 0.254
Si 0.000 0.500 0.445
Si 0.500 0.000 0.754
```



Run 2
K2Si after structural relaxation. Source: Alexandria via LeMat-Bulk, functional PBE. Values from VASP.

Cell and atoms, written as Quantum ESPRESSO input:
```
&SYSTEM
  ibrav = 0, nat = 9, ntyp = 2
/
ATOMIC_SPECIES
K 39.10 K.upf
Si 28.09 Si.upf
CELL_PARAMETERS angstrom
4.520 -7.829 0.000
4.520 7.829 0.000
0.000 0.000 5.199
ATOMIC_POSITIONS crystal
K 0.413 0.413 0.500
K 0.587 0.000 0.500
K 0.000 0.255 0.000
K 0.745 0.745 0.000
K 0.000 0.587 0.500
K 0.255 0.000 0.000
Si 0.000 0.000 0.500
Si 0.333 0.667 0.000
Si 0.667 0.333 0.000
```



Energies, relative to the best one, in meV/atom: run 1 0; run 2 339.